[1]
The following is a PBE-GGA calculation of a relaxed ReWCl crystal, from Alexandria.

a b c (Å): 3.067 5.069 13.575
angles (deg): 90.00 90.00 90.00
Space group Fmm2 (No. 42)
Asymmetric unit:
Re1 0.000 0.000 0.000 [4 per cell]
W1 0.000 0.000 0.359 [4 per cell]
Cl1 0.000 0.000 0.700 [4 per cell]

magnetic moment = 0.000 μB/cell
electronic total energy = -102.02 eV/cell



[2]
The following is a PBE-GGA calculation of a relaxed ReWCl crystal, from Alexandria.

a b c (Å): 3.001 3.001 11.298
angles (deg): 90.00 90.00 90.00
Space group I4mm (No. 107)
Asymmetric unit:
Re1 0.000 0.000 0.000 [2 per cell]
W1 0.000 0.000 0.368 [2 per cell]
Cl1 0.000 0.000 0.697 [2 per cell]

magnetic moment = 0.000 μB/cell
electronic total energy = -50.95 eV/cell



[3]
The following is a PBE-GGA calculation of a relaxed ReW4Cl crystal, from Alexandria.

a b c (Å): 7.470 7.470 7.470
angles (deg): 90.00 90.00 90.00
Space group F-43m (No. 216)
Asymmetric unit:
Re1 0.000 0.000 0.000 [4 per cell]
W1 0.124 0.124 0.624 [16 per cell]
Cl1 0.250 0.250 0.250 [4 per cell]

magnetic moment = 0.000 μB/cell
electronic total energy = -235.92 eV/cell



[4]
The following is a PBE-GGA calculation of a relaxed ReWCl crystal, from Alexandria.

a b c (Å): 2.9235 2.9235 6.5206
angles (deg): 90.00 90.00 120.00
Space group P3m1 (No. 156)
Asymmetric unit:
Re1 0.0000 0.0000 0.0000 [1 per cell]
W1 0.6667 0.3333 0.3142 [1 per cell]
Cl1 0.3333 0.6667 0.6183 [1 per cell]

magnetic moment = 0.000 μB/cell
electronic total energy = -25.86 eV/cell



[5]
The following is a PBE-GGA calculation of a relaxed ZrRe2WCl crystal, from Alexandria.

a b c (Å): 4.945 4.945 5.110
angles (deg): 90.00 90.00 90.00
Space group P4/mmm (No. 123)
Asymmetric unit:
Zr1 0.000 0.000 0.000 [1 per cell]
Re1 0.000 0.500 0.000 [2 per cell]
W1 0.000 0.000 0.500 [1 per cell]
Cl1 0.500 0.500 0.500 [1 per cell]

magnetic moment = 1.762 μB/cell
electronic total energy = -33.79 eV/cell



[6]
The following is a PBE-GGA calculation of a relaxed YReCl crystal, from Alexandria.

a b c (Å): 3.3242 3.3242 7.4485
angles (deg): 90.00 90.00 120.00
Space group P3m1 (No. 156)
Asymmetric unit:
Y1 0.0000 0.0000 0.0000 [1 per cell]
Re1 0.3333 0.6667 0.7121 [1 per cell]
Cl1 0.6667 0.3333 0.2610 [1 per cell]

magnetic moment = 1.326 μB/cell
electronic total energy = -20.33 eV/cell



[7]
The following is a PBE-GGA calculation of a relaxed YReCl crystal, from Alexandria.

a b c (Å): 4.5760 4.5760 3.1395
angles (deg): 90.00 90.00 120.00
Space group P-6m2 (No. 187)
Asymmetric unit:
Y1 0.0000 0.0000 0.0000 [1 per cell]
Re1 0.6667 0.3333 0.5000 [1 per cell]
Cl1 0.3333 0.6667 0.5000 [1 per cell]

magnetic moment = 0.000 μB/cell
electronic total energy = -19.75 eV/cell



[8]
The following is a PBE-GGA calculation of a relaxed YReCl crystal, from Alexandria.

a b c (Å): 6.403 6.403 6.403
angles (deg): 90.00 90.00 90.00
Space group F-43m (No. 216)
Asymmetric unit:
Y1 0.000 0.000 0.000 [4 per cell]
Re1 0.000 0.000 0.500 [4 per cell]
Cl1 0.250 0.250 0.750 [4 per cell]

magnetic moment = 10.335 μB/cell
electronic total energy = -73.71 eV/cell



[9]
The following is a PBE-GGA calculation of a relaxed YRe3Cl crystal, from Alexandria.

a b c (Å): 5.321 5.321 5.321
angles (deg): 90.00 90.00 90.00
Space group Pm-3m (No. 221)
Asymmetric unit:
Y1 0.000 0.000 0.000 [1 per cell]
Re1 0.000 0.000 0.500 [3 per cell]
Cl1 0.500 0.500 0.500 [1 per cell]

magnetic moment = 10.531 μB/cell
electronic total energy = -28.88 eV/cell



[10]
The following is a PBE-GGA calculation of a relaxed YReCl crystal, from Alexandria.

a b c (Å): 6.648 6.648 6.648
angles (deg): 90.00 90.00 90.00
Space group F-43m (No. 216)
Asymmetric unit:
Y1 0.000 0.000 0.000 [4 per cell]
Re1 0.250 0.250 0.250 [4 per cell]
Cl1 0.000 0.000 0.500 [4 per cell]

magnetic moment = 9.785 μB/cell
electronic total energy = -70.05 eV/cell



[11]
The following is a PBE-GGA calculation of a relaxed YRe3Cl crystal, from Alexandria.

a b c (Å): 4.469 4.469 4.469
angles (deg): 90.00 90.00 90.00
Space group Pm-3m (No. 221)
Asymmetric unit:
Y1 0.000 0.000 0.000 [1 per cell]
Re1 0.000 0.500 0.500 [3 per cell]
Cl1 0.500 0.500 0.500 [1 per cell]

magnetic moment = 0.000 μB/cell
electronic total energy = -39.52 eV/cell



[12]
The following is a PBE-GGA calculation of a relaxed YReCl crystal, from Alexandria.

a b c (Å): 6.878 6.878 6.878
angles (deg): 90.00 90.00 90.00
Space group F-43m (No. 216)
Asymmetric unit:
Y1 0.000 0.000 0.000 [4 per cell]
Re1 0.250 0.250 0.750 [4 per cell]
Cl1 0.250 0.250 0.250 [4 per cell]

magnetic moment = 12.002 μB/cell
electronic total energy = -71.09 eV/cell



> Which formula does entry 12 have?

YReCl



What did the ninth record say?
The following is a PBE-GGA calculation of a relaxed YRe3Cl crystal, from Alexandria.

a b c (Å): 5.321 5.321 5.321
angles (deg): 90.00 90.00 90.00
Space group Pm-3m (No. 221)
Asymmetric unit:
Y1 0.000 0.000 0.000 [1 per cell]
Re1 0.000 0.000 0.500 [3 per cell]
Cl1 0.500 0.500 0.500 [1 per cell]

magnetic moment = 10.531 μB/cell
electronic total energy = -28.88 eV/cell



> Which formula does entry 12 have?

YReCl



> Look up the magnetic moment of the ninth one.

10.531 μB/cell